(1)
The following is a PBE calculation of Zr2Nb2Au after structural relaxation, from Alexandria.

Cell: 7.2342 7.2342 3.9559 Å, 90.00 90.00 90.00°
With the nearest neighbours (Å) after each atom.
Space group P4/mbm (No. 127)
Inequivalent atoms, fractional coordinates:
Zr: 0.1724 0.3276 0.0000  6 Nb 2.83-2.96
Nb: 0.1291 0.6291 0.5000  1 Nb 2.64, 2 Zr 2.83, 2 Au 2.84
Au: 0.0000 0.0000 0.5000  4 Nb 2.84

Output
Polymorph energy (0 for the lowest one)   85 meV/atom
Calculated density   9.07 g/cm³
Final energy   -80.3 eV for the cell shown

=====

(2)
The following is a PBE calculation of Ca2SnHAu after structural relaxation, from Alexandria.

Cell: 5.3092 5.3092 3.8063 Å, 90.00 90.00 90.00°
With the nearest neighbours (Å) after each atom.
Space group P4/mmm (No. 123)
Inequivalent atoms, fractional coordinates:
Ca: 0.0000 0.5000 0.0000  2 H 2.65
Sn: 0.0000 0.0000 0.5000  8 Ca 3.27
H: 0.5000 0.5000 0.0000  2 Au 1.90
Au: 0.5000 0.5000 0.5000  2 H 1.90

Output
Calculated density   6.14 g/cm³
Final energy   -17.5 eV for the cell shown

=====

(3)
The following is a PBE calculation of LaTb2PmSm4 after structural relaxation, from Alexandria.

Cell: 6.2655 3.6370 12.0817 Å, 90.00 100.16 90.00°
With the nearest neighbours (Å) after each atom.
Space group P2/m (No. 10)
Inequivalent atoms, fractional coordinates:
La: 0.0000 0.0000 0.0000  4 Tb 3.62, 2 La 3.64, 6 Sm 3.65-3.66
Tb: 0.5000 0.0000 0.5000  6 Sm 3.61-3.63, 4 Pm 3.62, 2 Tb 3.64
Tb: 0.5000 0.5000 0.0000  4 La 3.62, 2 Tb 3.64, 6 Sm 3.64-3.66
Pm: 0.0000 0.5000 0.5000  6 Sm 3.62-3.63, 4 Tb 3.62, 2 Pm 3.64
Sm: 0.2508 0.0000 0.7493  6 Sm 3.62-3.64, 3 Tb 3.63-3.64, 2 Pm 3.63, 1 La 3.65
Sm: 0.2510 0.5000 0.2526  3 Tb 3.61-3.66, 1 Pm 3.62, 6 Sm 3.62-3.64, 2 La 3.66

Output
Calculated density   7.37 g/cm³
Final energy   -37.7 eV for the cell shown

=====

(4)
The following is a PBE calculation of LuTiIr after structural relaxation, from Alexandria.

Cell: 6.3645 6.3645 6.3645 Å, 90.00 90.00 90.00°
With the nearest neighbours (Å) after each atom.
Space group F-43m (No. 216)
Inequivalent atoms, fractional coordinates:
Lu: 0.0000 0.0000 0.0000  4 Ir 2.76
Ti: 0.0000 0.0000 0.5000  4 Ir 2.76
Ir: 0.2500 0.2500 0.7500  4 Ti 2.76, 4 Lu 2.76

Output
Polymorph energy (0 for the lowest one)   7 meV/atom
Calculated density   10.69 g/cm³
Final energy   -91.1 eV for the cell shown